The following is a DFT calculation (PBE-GGA) of crystalline VSiTc2 at its relaxed geometry.

Cell lengths 5.3958, 5.3958, 5.3958 Å; angles 105.59, 105.59, 117.55 degrees
Element x y z (fractional)
1 V 0.0000 0.0000 0.0000
2 V 0.7500 0.2500 0.5000
3 Si 0.2500 0.7500 0.5000
4 Si 0.5000 0.5000 0.0000
5 Tc 0.1360 0.1250 0.5110
6 Tc 0.3750 0.8640 0.9890
7 Tc 0.6140 0.6250 0.4890
8 Tc 0.8750 0.3860 0.0110

Output
For the total energy, the calculation gives -67.67 eV for the cell shown. Its space group is I-42d (122). The volume is 14.888 Å³/atom. As for the total magnetization: 0.00 μB per formula unit. The value obtained for the raw formation energy is 360 meV/atom.

The following is a DFT calculation (PBE-GGA) of crystalline V5Si5Tc at its relaxed geometry.

Cell lengths 6.0739, 6.0739, 6.3860 Å; angles 105.85, 105.85, 44.66 degrees
Element x y z (fractional)
1 V 0.0000 0.0000 0.0000
2 V 0.3530 0.3530 0.1311
3 V 0.3977 0.3977 0.7823
4 V 0.6023 0.6023 0.2177
5 V 0.6470 0.6470 0.8689
6 Si 0.1847 0.1847 0.7939
7 Si 0.2027 0.2027 0.4019
8 Si 0.5000 0.5000 0.5000
9 Si 0.7973 0.7973 0.5981
10 Si 0.8153 0.8153 0.2061
11 Tc 0.0000 0.0000 0.5000

Output
For the total energy, the calculation gives -82.89 eV for the cell shown. Its space group is C2/m (12). The volume is 14.382 Å³/atom. As for the total magnetization: 0.00 μB per formula unit. The value obtained for the raw formation energy is 16 meV/atom.

The following is a DFT calculation (PBE-GGA) of crystalline V2Si4Tc at its relaxed geometry.

Cell lengths 6.8432, 6.8432, 6.8432 Å; angles 141.32, 141.32, 55.85 degrees
Element x y z (fractional)
1 V 0.0957 0.0957 0.0000
2 V 0.9043 0.9043 0.0000
3 Si 0.0000 0.5000 0.5000
4 Si 0.2984 0.2984 0.0000
5 Si 0.5000 0.0000 0.5000
6 Si 0.7016 0.7016 0.0000
7 Tc 0.5000 0.5000 0.0000

Output
For the total energy, the calculation gives -47.15 eV for the cell shown. Its space group is I4/mmm (139). The volume is 17.745 Å³/atom. As for the total magnetization: 0.00 μB per formula unit. The value obtained for the raw formation energy is 449 meV/atom.

The following is a DFT calculation (PBE-GGA) of crystalline V6SiTc5 at its relaxed geometry.

Cell lengths 7.3695, 7.3695, 7.3695 Å; angles 146.45, 131.38, 60.37 degrees
Element x y z (fractional)
1 V 0.0798 0.3321 0.7477
2 V 0.2442 0.0000 0.2442
3 V 0.4156 0.6679 0.7477
4 V 0.5844 0.3321 0.2523
5 V 0.7558 0.0000 0.7558
6 V 0.9202 0.6679 0.2523
7 Si 0.5000 0.5000 0.0000
8 Tc 0.0000 0.5000 0.5000
9 Tc 0.1685 0.1685 0.0000
10 Tc 0.3378 0.8378 0.5000
11 Tc 0.6622 0.1622 0.5000
12 Tc 0.8315 0.8315 0.0000

Output
For the total energy, the calculation gives -116.24 eV for the cell shown. Its space group is Immm (71). The volume is 13.702 Å³/atom. As for the total magnetization: 0.00 μB per formula unit. The value obtained for the raw formation energy is -356 meV/atom.